Entry 1:
VASP calculation (PBE) on an optimized crystal structure of CaMoPt2.

Cell lengths 2.869, 3.693, 7.015 Å; angles 90.00, 90.00, 90.00 degrees
Element x y z (fractional)
Ca (0.000, 0.000, 0.000)
Mo (0.000, 0.000, 0.500)
Pt (0.500, 0.500, 0.298)
Pt (0.500, 0.500, 0.702)

For the uncorrected energy, the calculation gives -26.4 eV/cell. The calculation puts the formation energy at -8.4 kcal/mol of atoms.

=====

Entry 2:
VASP calculation (PBE) on an optimized crystal structure of CaMoPt.

Cell lengths 7.237, 7.237, 7.237 Å; angles 151.78, 135.10, 53.88 degrees
Element x y z (fractional)
Ca (0.202, 0.202, 0.000)
Ca (0.798, 0.798, 0.000)
Mo (0.207, 0.500, 0.707)
Mo (0.793, 0.500, 0.293)
Pt (0.393, 0.893, 0.500)
Pt (0.607, 0.107, 0.500)

For the uncorrected energy, the calculation gives -38.5 eV/cell. The calculation puts the formation energy at -3.1 kcal/mol of atoms.

=====

Entry 3:
VASP calculation (PBE) on an optimized crystal structure of CaMoPt.

Cell lengths 8.048, 8.048, 2.912 Å; angles 94.97, 94.97, 140.55 degrees
Element x y z (fractional)
Ca (0.187, 0.813, 0.000)
Ca (0.813, 0.187, 0.000)
Mo (0.212, 0.212, 0.762)
Mo (0.788, 0.788, 0.238)
Pt (0.373, 0.627, 0.500)
Pt (0.627, 0.373, 0.500)

For the uncorrected energy, the calculation gives -38.8 eV/cell. The calculation puts the formation energy at -4.1 kcal/mol of atoms.

=====

no.,magnetization (μB/cell),volume (Å³ per cell)
1,0.00,74.3
2,0.00,125.9
3,0.00,115.9